Here is a relaxed structure of BeSbP4 from Alexandria. Energies are from PBE-GGA.

a = 5.393 Å, b = 5.393 Å, c = 5.393 Å
α = 60.00°, β = 60.00°, γ = 60.00°
Positions (direct):
P 0.357 0.930 0.357
P 0.930 0.357 0.357
Be 0.000 0.000 0.000
P 0.357 0.357 0.930
Sb 0.750 0.750 0.750
P 0.357 0.357 0.357

Results
* spin magnetization: 0.00 μB per formula unit
* space group: F-43m, No. 216
* energy relative to the elements, uncorrected: 836 meV per atom
* ρ: 3.81 g/cm³

=====

Here is a relaxed structure of MgAl2V from Alexandria. Energies are from PBE-GGA.

a = 7.165 Å, b = 7.165 Å, c = 5.791 Å
α = 51.78°, β = 51.78°, γ = 90.00°
Last column: magnetic moment on the atom in μB.
Positions (direct):
Mg 0.250 0.750 0.500  -0.01
V 0.750 0.250 0.500  1.07
Al 0.113 0.625 0.250  -0.03
Mg 0.500 0.500 0.000  -0.01
Al 0.875 0.887 0.750  -0.03
V 0.000 0.000 0.000  1.07
Al 0.375 0.363 0.750  -0.03
Al 0.637 0.125 0.250  -0.03

Results
* spin magnetization: 1.04 μB per formula unit
* space group: I-42d, No. 122
* ρ: 2.98 g/cm³
* energy of formation from the pure elements: 0.46 eV/atom

=====

Here is a relaxed structure of SrY2Be from Alexandria. Energies are from PBE-GGA.

a = 6.852 Å, b = 6.852 Å, c = 5.326 Å
α = 67.14°, β = 67.14°, γ = 31.24°
Positions (direct):
Y 0.814 0.814 0.685
Be 0.486 0.486 0.515
Y 0.998 0.998 0.002
Sr 0.202 0.202 0.298

Results
* spin magnetization: 0.00 μB per formula unit
* space group: Cm, No. 8
* ρ: 3.84 g/cm³
* energy of formation from the pure elements: 0.32 eV/atom

=====

Here is a relaxed structure of TlSi2Tc from Alexandria. Energies are from PBE-GGA.

a = 3.277 Å, b = 5.122 Å, c = 5.346 Å
α = 48.85°, β = 90.00°, γ = 90.00°
Positions (direct):
Tl 0.000 0.000 0.500
Tc 0.500 0.500 0.500
Si 0.500 0.500 0.000
Si 0.000 0.000 0.000

Results
* spin magnetization: 0.00 μB per formula unit
* relative energy among the computed polymorphs: 55.8 kJ/mol of atoms
* space group: P2/m, No. 10
* energy relative to the elements, uncorrected: 607 meV per atom
* ρ: 8.81 g/cm³

=====

Here is a relaxed structure of NaRuIO6 from Alexandria. Energies are from PBE-GGA.

a = 4.798 Å, b = 4.798 Å, c = 10.088 Å
α = 90.00°, β = 90.00°, γ = 90.00°
Last column: magnetic moment on the atom in μB.
Positions (direct):
O 0.707 0.707 0.311  0.03
I 0.500 0.500 0.810  0.00
O 0.188 0.812 0.536  0.26
O 0.207 0.793 0.811  0.03
O 0.812 0.188 0.536  0.26
Ru 0.500 0.500 0.162  1.12
O 0.293 0.293 0.311  0.03
O 0.312 0.312 0.036  0.26
O 0.696 0.696 0.675  0.02
Na 0.000 0.000 0.985  0.00
O 0.304 0.304 0.675  0.02
Na 0.500 0.500 0.485  0.00
Ru 0.000 0.000 0.662  1.12
O 0.196 0.804 0.175  0.02
O 0.804 0.196 0.175  0.02
I 0.000 0.000 0.310  0.00
O 0.688 0.688 0.036  0.26
O 0.793 0.207 0.811  0.03

Results
* spin magnetization: 1.98 μB per formula unit
* space group: P4_2nm, No. 102
* energy relative to the elements, uncorrected: -673 meV per atom
* ρ: 4.96 g/cm³

=====

Here is a relaxed structure of Pr2AuN2 from Alexandria. Energies are from PBE-GGA.

a = 3.718 Å, b = 3.718 Å, c = 7.037 Å
α = 105.32°, β = 105.32°, γ = 90.00°
Positions (direct):
Pr 0.346 0.346 0.692
Au 0.000 0.000 0.000
Pr 0.654 0.654 0.308
N 0.837 0.837 0.674
N 0.163 0.163 0.326

Results
* spin magnetization: 0.00 μB per formula unit
* space group: I4/mmm, No. 139
* energy relative to the elements, uncorrected: -1011 meV per atom
* ρ: 9.33 g/cm³

=====

Here is a relaxed structure of NbTc2AuF from Alexandria. Energies are from PBE-GGA.

a = 4.085 Å, b = 4.665 Å, c = 4.085 Å
α = 90.00°, β = 90.00°, γ = 90.00°
Last column: magnetic moment on the atom in μB.
Positions (direct):
Tc 0.500 0.000 0.000  0.53
F 0.000 0.000 0.000  0.00
Au 0.000 0.500 0.000  0.01
Nb 0.500 0.500 0.500  -0.33
Tc 0.000 0.000 0.500  0.64

Results
* spin magnetization: 0.85 μB per formula unit
* space group: P4/mmm, No. 123
* energy relative to the elements, uncorrected: 599 meV per atom
* ρ: 10.77 g/cm³

=====

Here is a relaxed structure of K2MoAs from Alexandria. Energies are from PBE-GGA.

a = 6.693 Å, b = 6.693 Å, c = 6.693 Å
α = 143.95°, β = 126.92°, γ = 65.84°
Last column: magnetic moment on the atom in μB.
Positions (direct):
Mo 0.579 0.579 0.000  2.33
K 0.267 0.767 0.500  0.01
As 0.693 0.193 0.500  -0.08
K 0.961 0.961 0.000  0.01

Results
* spin magnetization: 2.97 μB per formula unit
* space group: Imm2, No. 44
* ρ: 2.97 g/cm³
* energy of formation from the pure elements: 0.45 eV/atom

=====

Here is a relaxed structure of Sc2NiHOs from Alexandria. Energies are from PBE-GGA.

a = 4.475 Å, b = 4.475 Å, c = 3.355 Å
α = 90.00°, β = 90.00°, γ = 90.00°
Positions (direct):
Ni 0.000 0.000 0.500
Os 0.500 0.500 0.500
Sc 0.000 0.500 0.000
Sc 0.500 0.000 0.000
H 0.000 0.000 0.000

Results
* spin magnetization: 0.00 μB per formula unit
* DFT total energy: -35.430 eV per cell
* space group: P4/mmm, No. 123
* ρ: 8.40 g/cm³

=====

Here is a relaxed structure of Th3In2 from Alexandria. Energies are from PBE-GGA.

a = 4.146 Å, b = 4.146 Å, c = 17.289 Å
α = 90.00°, β = 90.00°, γ = 90.00°
Positions (direct):
In 0.500 0.500 0.403
In 0.500 0.500 0.597
Th 0.000 0.000 0.500
In 0.500 0.500 0.207
Th 0.000 0.000 0.110
Th 0.000 0.000 0.694
Th 0.500 0.500 0.000
In 0.500 0.500 0.793
Th 0.000 0.000 0.306
Th 0.000 0.000 0.890

Results
* spin magnetization: 0.00 μB per formula unit
* relative energy among the computed polymorphs: 3.6 kJ/mol of atoms
* space group: P4/mmm, No. 123
* ρ: 10.35 g/cm³
* energy of formation from the pure elements: -0.16 eV/atom

=====

Here is a relaxed structure of DySnPb2 from Alexandria. Energies are from PBE-GGA.

a = 3.503 Å, b = 3.503 Å, c = 12.058 Å
α = 81.65°, β = 81.65°, γ = 60.00°
Positions (direct):
Pb 0.089 0.089 0.732
Pb 0.911 0.911 0.268
Dy 0.000 0.000 0.000
Sn 0.500 0.500 0.500

Results
* spin magnetization: 0.00 μB per formula unit
* relative energy among the computed polymorphs: 42.1 kJ/mol of atoms
* space group: R-3m, No. 166
* ρ: 9.15 g/cm³
* energy of formation from the pure elements: 0.12 eV/atom

=====

Here is a relaxed structure of Y3Ni2 from Alexandria. Energies are from PBE-GGA.

a = 4.759 Å, b = 4.759 Å, c = 5.871 Å
α = 90.00°, β = 90.00°, γ = 120.00°
Positions (direct):
Ni 0.667 0.333 0.161
Y 0.333 0.667 0.333
Y 0.000 0.000 0.000
Y 0.667 0.333 0.667
Ni 0.333 0.667 0.839

Results
* spin magnetization: 0.00 μB per formula unit
* relative energy among the computed polymorphs: 9.4 kJ/mol of atoms
* space group: P-3m1, No. 164
* ρ: 5.54 g/cm³
* energy of formation from the pure elements: -0.26 eV/atom

=====

Here is a relaxed structure of BaAcIn from Alexandria. Energies are from PBE-GGA.

a = 5.803 Å, b = 5.803 Å, c = 5.803 Å
α = 60.00°, β = 60.00°, γ = 60.00°
Positions (direct):
Ac 0.000 0.000 0.000
Ba 0.500 0.500 0.500
In 0.250 0.250 0.250

Results
* spin magnetization: 0.00 μB per formula unit
* relative energy among the computed polymorphs: 15.0 kJ/mol of atoms
* space group: F-43m, No. 216
* ρ: 5.76 g/cm³
* energy of formation from the pure elements: -0.12 eV/atom

=====

Here is a relaxed structure of Pr2ScMnS6 from Alexandria. Energies are from PBE-GGA.

a = 6.431 Å, b = 7.233 Å, c = 9.298 Å
α = 90.00°, β = 90.40°, γ = 90.00°
Last column: magnetic moment on the atom in μB.
Positions (direct):
S 0.312 0.678 0.052  -0.01
S 0.884 0.524 0.238  -0.01
Sc 0.000 0.500 0.500  0.06
Mn 0.500 0.000 0.500  3.58
Pr 0.461 0.396 0.252  0.02
Mn 0.000 0.500 0.000  3.58
S 0.688 0.322 0.948  -0.01
Pr 0.039 0.896 0.248  0.02
Sc 0.500 0.000 0.000  0.06
S 0.179 0.182 0.057  0.04
Pr 0.961 0.104 0.752  0.02
S 0.384 0.976 0.738  -0.01
Pr 0.539 0.604 0.748  0.02
S 0.821 0.818 0.943  0.04
S 0.116 0.476 0.762  -0.01
S 0.812 0.822 0.552  -0.01
S 0.616 0.024 0.262  -0.01
S 0.321 0.682 0.443  0.04
S 0.679 0.318 0.557  0.04
S 0.188 0.178 0.448  -0.01

Results
* spin magnetization: 4.00 μB per formula unit
* space group: P2_1/c, No. 14
* energy relative to the elements, uncorrected: -1638 meV per atom
* ρ: 4.41 g/cm³

=====

Here is a relaxed structure of ThTiZn from Alexandria. Energies are from PBE-GGA.

a = 3.935 Å, b = 4.503 Å, c = 4.503 Å
α = 120.00°, β = 90.00°, γ = 90.00°
Positions (direct):
Ti 0.167 0.333 0.667
Zn 0.167 0.000 0.000
Th 0.667 0.667 0.333

Results
* spin magnetization: 0.00 μB per formula unit
* relative energy among the computed polymorphs: 0.0 kJ/mol of atoms
* space group: P-6m2, No. 187
* ρ: 8.30 g/cm³
* energy of formation from the pure elements: 0.09 eV/atom